Record 1
VASP calculation (PBE) on crystalline ReSeS2N at its relaxed geometry.

abc: 4.7713 4.7713 3.7526
angles: 90.00 90.00 90.00
With the nearest neighbours (Å) after each atom.
Atoms (fractional coordinates):
Re 0.0000 0.0000 0.0000  2 N 1.88
Se 0.5000 0.5000 0.5000  8 S 3.04, 4 N 3.37
S 0.0000 0.5000 0.0000  2 Re 2.39
S 0.5000 0.0000 0.0000  2 Re 2.39
N 0.0000 0.0000 0.5000  2 Re 1.88

Output
- relative energy among the computed polymorphs (eV per formula unit) = 0.000
- symmetry = P4/mmm, No. 123
- formation energy from raw total energies (eV per atom) = 0.49

---

Record 2
VASP calculation (PBE) on crystalline Tb6Ho8In at its relaxed geometry.

abc: 8.4683 8.4683 8.4683
angles: 63.90 63.90 63.90
With the nearest neighbours (Å) after each atom.
Atoms (fractional coordinates):
Tb 0.0487 0.7308 0.6049  4 Ho 3.31-3.69, 1 In 3.34, 4 Tb 3.55-3.60
Tb 0.2692 0.3951 0.9513  4 Ho 3.31-3.69, 1 In 3.34, 4 Tb 3.55-3.60
Tb 0.3951 0.9513 0.2692  4 Ho 3.31-3.69, 1 In 3.34, 4 Tb 3.55-3.60
Tb 0.6049 0.0487 0.7308  4 Ho 3.31-3.69, 1 In 3.34, 4 Tb 3.55-3.60
Tb 0.7308 0.6049 0.0487  4 Ho 3.31-3.69, 1 In 3.34, 4 Tb 3.55-3.60
Tb 0.9513 0.2692 0.3951  4 Ho 3.31-3.69, 1 In 3.34, 4 Tb 3.55-3.60
Ho 0.0761 0.0761 0.0761  4 Ho 3.06-3.39, 3 Tb 3.31
Ho 0.2164 0.2475 0.6088  3 Tb 3.36-3.69, 5 Ho 3.37-3.39, 1 In 3.47
Ho 0.2475 0.6088 0.2164  3 Tb 3.36-3.69, 5 Ho 3.37-3.39, 1 In 3.47
Ho 0.3912 0.7836 0.7525  3 Tb 3.36-3.69, 5 Ho 3.37-3.39, 1 In 3.47
Ho 0.6088 0.2164 0.2475  3 Tb 3.36-3.69, 5 Ho 3.37-3.39, 1 In 3.47
Ho 0.7525 0.3912 0.7836  3 Tb 3.36-3.69, 5 Ho 3.37-3.39, 1 In 3.47
Ho 0.7836 0.7525 0.3912  3 Tb 3.36-3.69, 5 Ho 3.37-3.39, 1 In 3.47
Ho 0.9239 0.9239 0.9239  4 Ho 3.06-3.39, 3 Tb 3.31
In 0.5000 0.5000 0.5000  6 Tb 3.34, 6 Ho 3.47

Output
- relative energy among the computed polymorphs (eV per formula unit) = 0.000
- symmetry = R-3, No. 148
- formation energy (eV per atom) = 0.021

---

Record 3
VASP calculation (PBE) on crystalline AsPd3Au at its relaxed geometry.

abc: 4.9310 4.9310 4.9310
angles: 90.00 90.00 90.00
With the nearest neighbours (Å) after each atom.
Atoms (fractional coordinates):
As 0.0000 0.0000 0.0000  12 Pd 3.49
Pd 0.0000 0.5000 0.5000  2 Au 2.47
Pd 0.5000 0.0000 0.5000  2 Au 2.47
Pd 0.5000 0.5000 0.0000  2 Au 2.47
Au 0.5000 0.5000 0.5000  6 Pd 2.47

Output
- relative energy among the computed polymorphs (eV per formula unit) = 6.269
- symmetry = Pm-3m, No. 221
- formation energy (eV per atom) = 1.102

---

Record 4
VASP calculation (PBE) on crystalline LiEr3Pd2 at its relaxed geometry.

abc: 4.9461 4.9461 12.2450
angles: 90.00 90.00 120.00
With the nearest neighbours (Å) after each atom.
Atoms (fractional coordinates):
Li 0.3333 0.6667 0.1700  8 Er 3.05-3.10, 3 Pd 3.36
Li 0.6667 0.3333 0.8300  8 Er 3.05-3.10, 3 Pd 3.36
Er 0.0000 0.0000 0.2582  5 Pd 2.94-3.16, 3 Li 3.05
Er 0.0000 0.0000 0.7418  5 Pd 2.94-3.16, 3 Li 3.05
Er 0.3333 0.6667 0.4236  7 Pd 3.01-3.20, 1 Li 3.10
Er 0.3333 0.6667 0.9184  4 Pd 2.86-3.03, 4 Li 3.05-3.08
Er 0.6667 0.3333 0.0816  4 Pd 2.86-3.03, 4 Li 3.05-3.08
Er 0.6667 0.3333 0.5764  7 Pd 3.01-3.20, 1 Li 3.10
Pd 0.0000 0.0000 0.0000  8 Er 3.03-3.16
Pd 0.0000 0.0000 0.5000  8 Er 2.96-3.01
Pd 0.3333 0.6667 0.6849  8 Er 2.86-3.20
Pd 0.6667 0.3333 0.3151  8 Er 2.86-3.20

Output
- symmetry = P-3m1, No. 164
- formation energy (eV per atom) = -0.612

---

Number 1: total magnetization 0.00 μB/atom. Number 2: total magnetization 0.00 μB/atom. Number 3: total magnetization 0.00 μB/atom. Number 4: total magnetization 0.00 μB/atom.